The following is a PBE-GGA calculation of an optimized crystal structure of NiPt, from the Alexandria database.

abc: 3.8507 3.8507 3.8507
angles: 60.00 60.00 60.00
Site moments in Bohr magnetons follow the coordinates.
Positions (direct):
Ni: 0.0000 0.0000 0.0000  1.01
Pt: 0.7500 0.7500 0.7500  0.56

Summary:
The calculated total energy comes out at -9.9 eV per cell. As for the density of states at the Fermi level: 3.11 states/eV/cell. The volume comes out at 40 Å³/cell. Its symmetry is F-43m, No. 216. As for the energy relative to the elements: 0.953 eV/atom.